DFT (PBE-GGA) results for a geometry-optimized ScFe2BRu structure.

a b c (Å): 3.9347 3.9347 4.1642
angles (deg): 90.00 90.00 90.00
Closest atoms and distances in Å follow each position.
Element x y z (fractional)
1 Sc 0.5000 0.5000 0.5000  4 Ru 2.78, 8 Fe 2.86
2 Ru 0.0000 0.0000 0.5000  2 B 2.08
3 B 0.0000 0.0000 0.0000  4 Fe 1.97, 2 Ru 2.08
4 Fe 0.0000 0.5000 0.0000  2 B 1.97
5 Fe 0.5000 0.0000 0.0000  2 B 1.97

* total moment: 3.86 Bohr magnetons per cell
* energy relative to the elements: -260 meV/atom

***

DFT (PBE-GGA) results for a geometry-optimized ScFeB2Ru structure.

a b c (Å): 3.9866 4.6700 3.9866
angles (deg): 90.00 90.00 90.00
Closest atoms and distances in Å follow each position.
Element x y z (fractional)
1 Sc 0.5000 0.5000 0.5000  4 Fe 2.82, 8 B 3.07
2 Ru 0.0000 0.0000 0.0000  4 B 1.99
3 B 0.0000 0.0000 0.5000  2 Ru 1.99
4 B 0.5000 0.0000 0.0000  2 Ru 1.99
5 Fe 0.0000 0.5000 0.0000  2 Ru 2.34

* total moment: 2.24 Bohr magnetons per cell
* energy relative to the elements: 494 meV/atom

***

DFT (PBE-GGA) results for a geometry-optimized ScFeBRu2 structure.

a b c (Å): 4.1623 4.1623 3.8759
angles (deg): 90.00 90.00 90.00
Closest atoms and distances in Å follow each position.
Element x y z (fractional)
1 Sc 0.5000 0.5000 0.5000  8 Ru 2.84, 4 Fe 2.94
2 Ru 0.0000 0.5000 0.0000  2 B 2.08
3 Ru 0.5000 0.0000 0.0000  2 B 2.08
4 B 0.0000 0.0000 0.0000  2 Fe 1.94, 4 Ru 2.08
5 Fe 0.0000 0.0000 0.5000  2 B 1.94

* total moment: 1.89 Bohr magnetons per cell
* energy relative to the elements: -305 meV/atom

***

| no. | volume (A^3/atom) | electronic total energy (eV/atom) |
| --- | --- | --- |
| 1 | 12.894 | -8.102 |
| 2 | 14.844 | -6.991 |
| 3 | 13.430 | -8.309 |